The following is a PBE calculation of crystalline LiSiHg2Se4 at its relaxed geometry, from the Alexandria database.

As for the magnetization: 0.000 Bohr magnetons per cell. As for the energy relative to the elements, uncorrected: -0.422 eV per atom. Its space group is C2 (5). The calculation puts the density of states at the Fermi level at 2.516 states/eV/cell.

Cell: 6.4739 6.4738 6.9444 Å, 117.76 117.76 90.04°
Last column: nearest neighbours and their distance in Å.
Element x y z (fractional)
Se (0.3970, 0.8144, 0.2252)  1 Si 2.31
Se (0.6575, 0.6436, 0.7188)  1 Si 2.31
Se (0.0614, 0.0752, 0.7189)  1 Si 2.31
Hg (0.2352, 0.2353, 0.4706)  4 Se 2.96
Se (0.8282, 0.4107, 0.2251)  1 Si 2.31
Si (0.7360, 0.7360, 0.4720)  4 Se 2.31
Li (0.9860, 0.4861, 0.9720)  4 Se 2.62
Hg (0.4858, 0.9858, 0.9716)  4 Se 2.72-2.73

---

The following is a PBE calculation of crystalline Sm4Pd5Au3 at its relaxed geometry, from the Alexandria database.

As for the magnetization: 0.000 Bohr magnetons per cell. Its space group is C2/m (12). The formation energy comes out at -6.56 eV/f.u. The calculation puts the density of states at the Fermi level at 7.556 states/eV/cell.

Cell: 4.9210 7.3669 8.5747 Å, 94.68 73.32 70.49°
Last column: nearest neighbours and their distance in Å.
Element x y z (fractional)
Sm (0.2264, 0.7326, 0.8147)  4 Pd 2.77-3.06
Pd (0.5000, 0.5000, 0.5000)  2 Au 2.46
Sm (0.7736, 0.2674, 0.1853)  4 Pd 2.77-3.06
Sm (0.9994, 0.2560, 0.7453)  4 Au 2.88-3.08, 3 Pd 2.99-3.19
Au (0.6790, 0.1109, 0.5311)  2 Pd 2.76-2.81, 2 Au 2.89, 3 Sm 3.06-3.08
Pd (0.4129, 0.0116, 0.1626)  2 Pd 2.64-2.77, 1 Au 2.81
Sm (0.0006, 0.7440, 0.2547)  4 Au 2.88-3.08, 3 Pd 2.99-3.19
Pd (0.5871, 0.9884, 0.8374)  2 Pd 2.64-2.77, 1 Au 2.81
Au (0.0000, 0.5000, 0.5000)  2 Pd 2.46
Pd (0.3142, 0.3821, 0.9894)  3 Pd 2.77-2.94, 2 Sm 2.99-3.06
Pd (0.6858, 0.6179, 0.0106)  3 Pd 2.77-2.94, 2 Sm 2.99-3.06
Au (0.3210, 0.8891, 0.4689)  2 Pd 2.76-2.81, 2 Au 2.89, 3 Sm 3.06-3.08

---

The following is a PBE calculation of crystalline Ni5PdPt8 at its relaxed geometry, from the Alexandria database.

As for the magnetization: 6.701 Bohr magnetons per cell. Its space group is I-4 (82). The value obtained for the energy above the lowest structure with this stoichiometry is 0.0 meV per atom. The formation energy comes out at 2.05 eV/f.u. The calculation puts the density of states at the Fermi level at 23.097 states/eV/cell.

Cell: 6.5241 6.5241 6.5241 Å, 104.30 104.30 120.40°
Last column: nearest neighbours and their distance in Å.
Element x y z (fractional)
Pt (0.1649, 0.0061, 0.8254)  2 Ni 2.51-2.56, 2 Pt 2.67-2.74, 1 Pd 2.72
Pt (0.1932, 0.6239, 0.8987)  5 Ni 2.49-2.65, 1 Pt 2.74
Ni (0.8025, 0.5147, 0.5391)  3 Ni 2.44-2.50, 5 Pt 2.49-2.65, 1 Pd 2.64
Ni (0.7366, 0.1975, 0.7122)  3 Ni 2.44-2.50, 5 Pt 2.49-2.65, 1 Pd 2.64
Ni (0.4853, 0.0244, 0.2878)  3 Ni 2.44-2.50, 5 Pt 2.49-2.65, 1 Pd 2.64
Pt (0.7055, 0.8068, 0.4307)  5 Ni 2.49-2.65, 1 Pt 2.74
Ni (0.9756, 0.2634, 0.4609)  3 Ni 2.44-2.50, 5 Pt 2.49-2.65, 1 Pd 2.64
Pd (0.2500, 0.7500, 0.5000)  4 Ni 2.64, 4 Pt 2.72
Pt (0.3761, 0.2748, 0.5693)  5 Ni 2.49-2.65, 1 Pt 2.74
Pt (0.6605, 0.8351, 0.8412)  2 Ni 2.51-2.56, 2 Pt 2.67-2.74, 1 Pd 2.72
Pt (0.1807, 0.3395, 0.1746)  2 Ni 2.51-2.56, 2 Pt 2.67-2.74, 1 Pd 2.72
Ni (0.5000, 0.5000, 0.0000)  8 Pt 2.51-2.52
Pt (0.7252, 0.2945, 0.1013)  5 Ni 2.49-2.65, 1 Pt 2.74
Pt (0.9939, 0.8193, 0.1588)  2 Ni 2.51-2.56, 2 Pt 2.67-2.74, 1 Pd 2.72

---

The following is a PBE calculation of crystalline Ti3SnGe at its relaxed geometry, from the Alexandria database.

As for the magnetization: 0.000 Bohr magnetons per cell. Its space group is Pm-3m (221). The value obtained for the energy above the lowest structure with this stoichiometry is 320.5 meV per atom. The formation energy comes out at 0.69 eV/f.u. The calculation puts the density of states at the Fermi level at 3.318 states/eV/cell.

Cell: 4.7068 4.7068 4.7068 Å, 90.00 90.00 90.00°
Last column: nearest neighbours and their distance in Å.
Element x y z (fractional)
Ti (0.0000, 0.5000, 0.0000)  2 Ge 2.35
Sn (0.5000, 0.5000, 0.5000)  12 Ti 3.33
Ti (0.5000, 0.0000, 0.0000)  2 Ge 2.35
Ge (0.0000, 0.0000, 0.0000)  6 Ti 2.35
Ti (0.0000, 0.0000, 0.5000)  2 Ge 2.35

---

The following is a PBE calculation of crystalline AcTb6DyHo2 at its relaxed geometry, from the Alexandria database.

As for the magnetization: 0.000 Bohr magnetons per cell. Its space group is C2/c (15). The formation energy comes out at 1.29 eV/f.u. The calculation puts the density of states at the Fermi level at 29.444 states/eV/cell.

Cell: 9.5437 8.9124 8.9124 Å, 117.64 92.67 92.67°
Last column: nearest neighbours and their distance in Å.
Element x y z (fractional)
Ho (0.9516, 0.6840, 0.7974)  6 Tb 3.27-3.58, 2 Ac 3.46-3.58, 1 Dy 3.57
Tb (0.1814, 0.5558, 0.0139)  5 Tb 3.23-3.62, 2 Ho 3.42-3.51, 1 Dy 3.50
Dy (0.2500, 0.4119, 0.5881)  6 Tb 3.45-3.56, 4 Ho 3.57-3.80
Tb (0.6168, 0.4905, 0.7115)  4 Tb 3.23-3.49, 3 Ho 3.27-3.44, 2 Dy 3.45-3.56
Tb (0.0566, 0.1276, 0.7505)  7 Tb 3.44-3.78, 1 Ho 3.58, 1 Ac 3.82
Ho (0.0484, 0.3160, 0.2026)  6 Tb 3.27-3.58, 2 Ac 3.46-3.58, 1 Dy 3.57
Tb (0.4434, 0.2495, 0.8724)  7 Tb 3.44-3.78, 1 Ho 3.58, 1 Ac 3.82
Ac (0.7500, 0.0293, 0.9707)  4 Ho 3.46-3.58, 4 Tb 3.66-3.82
Tb (0.1168, 0.7115, 0.4905)  4 Tb 3.23-3.49, 3 Ho 3.27-3.44, 2 Dy 3.45-3.56
Ho (0.4516, 0.7974, 0.6840)  6 Tb 3.27-3.58, 2 Ac 3.46-3.58, 1 Dy 3.57
Tb (0.3186, 0.9861, 0.4442)  5 Tb 3.23-3.62, 2 Ho 3.42-3.51, 1 Dy 3.50
Ac (0.2500, 0.9707, 0.0293)  4 Ho 3.46-3.58, 4 Tb 3.66-3.82
Dy (0.7500, 0.5881, 0.4119)  6 Tb 3.45-3.56, 4 Ho 3.57-3.80
Tb (0.8832, 0.2885, 0.5095)  4 Tb 3.23-3.49, 3 Ho 3.27-3.44, 2 Dy 3.45-3.56
Tb (0.3832, 0.5095, 0.2885)  4 Tb 3.23-3.49, 3 Ho 3.27-3.44, 2 Dy 3.45-3.56
Tb (0.8186, 0.4442, 0.9861)  5 Tb 3.23-3.62, 2 Ho 3.42-3.51, 1 Dy 3.50
Tb (0.9434, 0.8724, 0.2495)  7 Tb 3.44-3.78, 1 Ho 3.58, 1 Ac 3.82
Tb (0.5566, 0.7505, 0.1276)  7 Tb 3.44-3.78, 1 Ho 3.58, 1 Ac 3.82
Ho (0.5484, 0.2026, 0.3160)  6 Tb 3.27-3.58, 2 Ac 3.46-3.58, 1 Dy 3.57
Tb (0.6814, 0.0139, 0.5558)  5 Tb 3.23-3.62, 2 Ho 3.42-3.51, 1 Dy 3.50

---

The following is a PBE calculation of crystalline Gd2ErP at its relaxed geometry, from the Alexandria database.

As for the magnetization: 15.698 Bohr magnetons per cell. Its space group is R-3m (166). The formation energy comes out at -2.65 eV/f.u. The calculation puts the density of states at the Fermi level at 4.193 states/eV/cell.

Cell: 3.8224 3.8224 9.6253 Å, 78.55 78.55 60.00°
Last column: nearest neighbours and their distance in Å.
Element x y z (fractional)
Er (0.5000, 0.5000, 0.5000)  6 Gd 3.73, 6 Er 3.82
Gd (0.7265, 0.7265, 0.8204)  3 P 2.78
Gd (0.2735, 0.2735, 0.1796)  3 P 2.78
P (0.0000, 0.0000, 0.0000)  6 Gd 2.78

---

- magnetization of number 3 (Ni5PdPt8)?
  6.701 Bohr magnetons per cell

---

- Among the records above, which one has the highest density of states at the Fermi level?
  AcTb6DyHo2